(1)
# GGA-PBE Pm3Zn2Au4, optimized geometry
# **Space group**: C2/m, No. 12
# **Total energy**: -36.322 eV/f.u.
# **Crystal system**: monoclinic
# **Density**: 11181 kg/m³
data_Pm3Zn2Au4
_chemical_formula_sum 'Pm3 Zn2 Au4'
_space_group_name_H-M_alt 'P 1'
_space_group_IT_number 1
_cell_length_a 5.8484
_cell_length_b 5.8484
_cell_length_c 8.8591
_cell_angle_alpha 112.71
_cell_angle_beta 112.71
_cell_angle_gamma 47.01
loop_
_space_group_symop_operation_xyz
'x,y,z'
loop_
_atom_site_label
_atom_site_type_symbol
_atom_site_fract_x
_atom_site_fract_y
_atom_site_fract_z
_atom_site_occupancy
Au1 Au 0.0787 0.0787 0.9004 1
Au2 Au 0.9213 0.9213 0.0996 1
Au3 Au 0.7176 0.7176 0.5680 1
Au4 Au 0.2824 0.2824 0.4320 1
Zn1 Zn 0.3553 0.3553 0.1847 1
Zn2 Zn 0.6447 0.6447 0.8153 1
Pm1 Pm 0.0000 0.0000 0.5000 1
Pm2 Pm 0.6501 0.6501 0.1829 1
Pm3 Pm 0.3499 0.3499 0.8171 1


(2)
# GGA-PBE PrAu, optimized geometry
# **Space group**: F-43m, No. 216
# **Total energy**: -8.477 eV/f.u.
# **Crystal system**: cubic
# **Density**: 7462 kg/m³
data_PrAu
_chemical_formula_sum 'Pr1 Au1'
_space_group_name_H-M_alt 'P 1'
_space_group_IT_number 1
_cell_length_a 4.7376
_cell_length_b 4.7376
_cell_length_c 4.7376
_cell_angle_alpha 60.00
_cell_angle_beta 60.00
_cell_angle_gamma 60.00
loop_
_space_group_symop_operation_xyz
'x,y,z'
loop_
_atom_site_label
_atom_site_type_symbol
_atom_site_fract_x
_atom_site_fract_y
_atom_site_fract_z
_atom_site_occupancy
Au1 Au 0.0000 0.0000 0.0000 1
Pr1 Pr 0.2500 0.2500 0.2500 1


(3)
# GGA-PBE PrAu, optimized geometry
# **Space group**: Pm-3m, No. 221
# **Total energy**: -9.539 eV/f.u.
# **Crystal system**: cubic
# **Density**: 10901 kg/m³
data_PrAu
_chemical_formula_sum 'Pr1 Au1'
_space_group_name_H-M_alt 'P 1'
_space_group_IT_number 1
_cell_length_a 3.7197
_cell_length_b 3.7197
_cell_length_c 3.7197
_cell_angle_alpha 90.00
_cell_angle_beta 90.00
_cell_angle_gamma 90.00
loop_
_space_group_symop_operation_xyz
'x,y,z'
loop_
_atom_site_label
_atom_site_type_symbol
_atom_site_fract_x
_atom_site_fract_y
_atom_site_fract_z
_atom_site_occupancy
Pr1 Pr 0.5000 0.5000 0.5000 1
Au1 Au 0.0000 0.0000 0.0000 1


(4)
# GGA-PBE PrAu2, optimized geometry
# **Space group**: Fd-3m, No. 227
# **Total energy**: -12.850 eV/f.u.
# **Crystal system**: cubic
# **Density**: 13407 kg/m³
data_PrAu2
_chemical_formula_sum 'Pr2 Au4'
_space_group_name_H-M_alt 'P 1'
_space_group_IT_number 1
_cell_length_a 5.7222
_cell_length_b 5.7222
_cell_length_c 5.7222
_cell_angle_alpha 60.00
_cell_angle_beta 60.00
_cell_angle_gamma 60.00
loop_
_space_group_symop_operation_xyz
'x,y,z'
loop_
_atom_site_label
_atom_site_type_symbol
_atom_site_fract_x
_atom_site_fract_y
_atom_site_fract_z
_atom_site_occupancy
Au1 Au 0.1250 0.6250 0.6250 1
Au2 Au 0.6250 0.6250 0.6250 1
Au3 Au 0.6250 0.1250 0.6250 1
Au4 Au 0.6250 0.6250 0.1250 1
Pr1 Pr 0.2500 0.2500 0.2500 1
Pr2 Pr 0.0000 0.0000 0.0000 1


(5)
# GGA-PBE PrAu, optimized geometry
# **Space group**: P-6m2, No. 187
# **Total energy**: -9.066 eV/f.u.
# **Crystal system**: hexagonal
# **Density**: 10787 kg/m³
data_PrAu
_chemical_formula_sum 'Pr1 Au1'
_space_group_name_H-M_alt 'P 1'
_space_group_IT_number 1
_cell_length_a 3.6351
_cell_length_b 3.6351
_cell_length_c 4.5453
_cell_angle_alpha 90.00
_cell_angle_beta 90.00
_cell_angle_gamma 120.00
loop_
_space_group_symop_operation_xyz
'x,y,z'
loop_
_atom_site_label
_atom_site_type_symbol
_atom_site_fract_x
_atom_site_fract_y
_atom_site_fract_z
_atom_site_occupancy
Pr1 Pr 0.3333 0.6667 0.2500 1
Au1 Au 0.6667 0.3333 0.7500 1


(6)
# GGA-PBE PrAu, optimized geometry
# **Space group**: Cmcm, No. 63
# **Total energy**: -9.633 eV/f.u.
# **Crystal system**: orthorhombic
# **Density**: 10494 kg/m³
data_PrAu
_chemical_formula_sum 'Pr2 Au2'
_space_group_name_H-M_alt 'P 1'
_space_group_IT_number 1
_cell_length_a 4.8187
_cell_length_b 6.0133
_cell_length_c 6.0133
_cell_angle_alpha 37.85
_cell_angle_beta 90.00
_cell_angle_gamma 90.00
loop_
_space_group_symop_operation_xyz
'x,y,z'
loop_
_atom_site_label
_atom_site_type_symbol
_atom_site_fract_x
_atom_site_fract_y
_atom_site_fract_z
_atom_site_occupancy
Au1 Au 0.5000 0.0869 0.0869 1
Au2 Au 0.0000 0.9127 0.9127 1
Pr1 Pr 0.5000 0.3627 0.3627 1
Pr2 Pr 0.0000 0.6376 0.6376 1


(7)
# GGA-PBE PrPt4Au, optimized geometry
# **Space group**: F-43m, No. 216
# **Total energy**: -36.483 eV/f.u.
# **Crystal system**: cubic
# **Density**: 16679 kg/m³
data_PrPt4Au
_chemical_formula_sum 'Pr1 Pt4 Au1'
_space_group_name_H-M_alt 'P 1'
_space_group_IT_number 1
_cell_length_a 5.3997
_cell_length_b 5.3997
_cell_length_c 5.3997
_cell_angle_alpha 60.00
_cell_angle_beta 60.00
_cell_angle_gamma 60.00
loop_
_space_group_symop_operation_xyz
'x,y,z'
loop_
_atom_site_label
_atom_site_type_symbol
_atom_site_fract_x
_atom_site_fract_y
_atom_site_fract_z
_atom_site_occupancy
Pt1 Pt 0.6256 0.1232 0.6256 1
Pt2 Pt 0.6256 0.6256 0.6256 1
Pt3 Pt 0.6256 0.6256 0.1232 1
Pt4 Pt 0.1232 0.6256 0.6256 1
Pr1 Pr 0.2500 0.2500 0.2500 1
Au1 Au 0.0000 0.0000 0.0000 1


(8)
# GGA-PBE Pr4PtAu3, optimized geometry
# **Space group**: Pm, No. 6
# **Total energy**: -42.017 eV/f.u.
# **Crystal system**: monoclinic
# **Density**: 10679 kg/m³
data_Pr4PtAu3
_chemical_formula_sum 'Pr4 Pt1 Au3'
_space_group_name_H-M_alt 'P 1'
_space_group_IT_number 1
_cell_length_a 5.8533
_cell_length_b 4.7882
_cell_length_c 7.4882
_cell_angle_alpha 90.00
_cell_angle_beta 90.45
_cell_angle_gamma 90.00
loop_
_space_group_symop_operation_xyz
'x,y,z'
loop_
_atom_site_label
_atom_site_type_symbol
_atom_site_fract_x
_atom_site_fract_y
_atom_site_fract_z
_atom_site_occupancy
Pr1 Pr 0.3530 0.5000 0.8228 1
Pr2 Pr 0.1410 0.5000 0.3057 1
Pr3 Pr 0.6360 0.0000 0.1803 1
Pr4 Pr 0.8651 0.0000 0.6893 1
Pt1 Pt 0.1532 0.0000 0.0420 1
Au1 Au 0.8472 0.5000 0.9578 1
Au2 Au 0.6487 0.5000 0.4604 1
Au3 Au 0.3558 0.0000 0.5418 1